# 1
The following is a DFT calculation (PBE) of a relaxed structure of LiTcW3.

Output
The formation energy from the elements comes out at 1885 meV/atom. The calculation puts the excess energy over the best structure of this formula in the dataset at 450 meV/atom.

Unit cell a=4.748 b=4.748 c=4.748 alpha=90.00 beta=90.00 gamma=90.00
Sites, in units of the cell vectors:
Tc (0.000, 0.000, 0.000)
W (0.000, 0.500, 0.000)
W (0.000, 0.000, 0.500)
W (0.500, 0.000, 0.000)
Li (0.500, 0.500, 0.500)

# 2
The following is a DFT calculation (PBE) of a relaxed structure of LiTcW2.

Output
The formation energy from the elements comes out at 526 meV/atom. The calculation puts the excess energy over the best structure of this formula in the dataset at 271 meV/atom.

Unit cell a=2.733 b=2.733 c=8.588 alpha=90.00 beta=90.00 gamma=90.00
Sites, in units of the cell vectors:
Li (0.500, 0.500, 0.250)
Tc (0.500, 0.500, 0.750)
W (0.000, 0.000, 0.980)
W (0.000, 0.000, 0.520)

# 3
The following is a DFT calculation (PBE) of a relaxed structure of LiTcW.

Output
The formation energy from the elements comes out at 184 meV/atom. The calculation puts the excess energy over the best structure of this formula in the dataset at 0 meV/atom.

Unit cell a=4.371 b=4.371 c=2.623 alpha=90.00 beta=90.00 gamma=120.00
Sites, in units of the cell vectors:
Li (0.000, 0.000, 0.014)
Tc (0.333, 0.667, 0.348)
W (0.667, 0.333, 0.638)

# 4
The following is a DFT calculation (PBE) of a relaxed structure of LiTcW2.

Output
The formation energy from the elements comes out at 392 meV/atom. The calculation puts the excess energy over the best structure of this formula in the dataset at 137 meV/atom.

Unit cell a=4.364 b=4.364 c=4.364 alpha=60.00 beta=60.00 gamma=60.00
Sites, in units of the cell vectors:
Tc (0.500, 0.500, 0.500)
W (0.250, 0.250, 0.250)
W (0.750, 0.750, 0.750)
Li (0.000, 0.000, 0.000)

# 5
The following is a DFT calculation (PBE) of a relaxed structure of LiTcW2.

Output
The formation energy from the elements comes out at 274 meV/atom. The calculation puts the excess energy over the best structure of this formula in the dataset at 19 meV/atom.

Unit cell a=4.418 b=2.660 c=5.159 alpha=80.92 beta=90.00 gamma=90.00
Sites, in units of the cell vectors:
Li (0.500, 0.250, 0.250)
Tc (0.500, 0.750, 0.750)
W (0.000, 0.010, 0.001)
W (0.000, 0.490, 0.499)

# 6
The following is a DFT calculation (PBE) of a relaxed structure of LiTcW2.

Output
The formation energy from the elements comes out at 328 meV/atom. The calculation puts the excess energy over the best structure of this formula in the dataset at 73 meV/atom.

Unit cell a=5.162 b=5.162 c=5.162 alpha=144.76 beta=129.73 gamma=62.88
Sites, in units of the cell vectors:
Li (0.750, 0.250, 0.500)
Tc (0.250, 0.750, 0.500)
W (0.014, 0.014, 0.000)
W (0.486, 0.486, 0.000)

# 7
The following is a DFT calculation (PBE) of a relaxed structure of LiTc2W.

Output
The formation energy from the elements comes out at 255 meV/atom. The calculation puts the excess energy over the best structure of this formula in the dataset at 92 meV/atom.

Unit cell a=5.118 b=5.143 c=2.630 alpha=82.20 beta=79.12 gamma=117.87
Sites, in units of the cell vectors:
Li (0.500, 0.000, 0.500)
Tc (0.000, 0.000, 0.000)
Tc (0.000, 0.500, 0.500)
W (0.500, 0.500, 0.000)

# 8
The following is a DFT calculation (PBE) of a relaxed structure of LiTcW2.

Output
The formation energy from the elements comes out at 389 meV/atom. The calculation puts the excess energy over the best structure of this formula in the dataset at 134 meV/atom.

Unit cell a=2.585 b=4.296 c=5.448 alpha=90.00 beta=90.00 gamma=90.00
Sites, in units of the cell vectors:
Li (0.000, 0.000, 0.503)
Tc (0.500, 0.500, 0.736)
W (0.000, 0.000, 0.997)
W (0.500, 0.500, 0.263)

# 9
The following is a DFT calculation (PBE) of a relaxed structure of LiTcW.

Output
The formation energy from the elements comes out at 331 meV/atom. The calculation puts the excess energy over the best structure of this formula in the dataset at 147 meV/atom.

Unit cell a=4.690 b=4.690 c=4.690 alpha=139.76 beta=139.76 gamma=58.22
Sites, in units of the cell vectors:
Li (0.997, 0.997, 0.000)
Tc (0.332, 0.332, 0.000)
W (0.672, 0.672, 0.000)

# 10
The following is a DFT calculation (PBE) of a relaxed structure of LiTcW2.

Output
The formation energy from the elements comes out at 384 meV/atom. The calculation puts the excess energy over the best structure of this formula in the dataset at 129 meV/atom.

Unit cell a=9.608 b=9.608 c=9.608 alpha=16.65 beta=16.65 gamma=16.65
Sites, in units of the cell vectors:
Li (0.250, 0.250, 0.250)
Tc (0.750, 0.750, 0.750)
W (0.005, 0.005, 0.005)
W (0.495, 0.495, 0.495)

# 11
The following is a DFT calculation (PBE) of a relaxed structure of LiTc2W.

Output
The formation energy from the elements comes out at 190 meV/atom. The calculation puts the excess energy over the best structure of this formula in the dataset at 27 meV/atom.

Unit cell a=4.269 b=2.639 c=5.197 alpha=82.41 beta=90.00 gamma=90.00
Sites, in units of the cell vectors:
Li (0.500, 0.750, 0.750)
Tc (0.000, 0.023, 0.989)
Tc (0.000, 0.477, 0.511)
W (0.500, 0.250, 0.250)

# 12
The following is a DFT calculation (PBE) of a relaxed structure of LiTcW2.

Output
The formation energy from the elements comes out at 326 meV/atom. The calculation puts the excess energy over the best structure of this formula in the dataset at 71 meV/atom.

Unit cell a=5.131 b=5.131 c=5.131 alpha=144.98 beta=128.65 gamma=63.67
Sites, in units of the cell vectors:
Li (0.495, 0.495, 0.000)
Tc (0.243, 0.743, 0.500)
W (0.005, 0.005, 0.000)
W (0.758, 0.258, 0.500)